## YMg2Cd3 (GGA-PBE)

Data for crystalline YMg2Cd3 at its relaxed geometry.

Unit cell a=6.1700 b=6.9677 c=6.9677 alpha=77.15 beta=90.00 gamma=90.00
Fractional coordinates of all 12 atoms:
1 Y 0.7500 0.3719 0.6281
2 Y 0.2500 0.6281 0.3719
3 Mg 0.0000 0.7714 0.7714
4 Mg 0.5000 0.7714 0.7714
5 Mg 0.0000 0.2286 0.2286
6 Mg 0.5000 0.2286 0.2286
7 Cd 0.2500 0.9889 0.0111
8 Cd 0.2500 0.4188 0.8536
9 Cd 0.7500 0.8536 0.4188
10 Cd 0.2500 0.1464 0.5812
11 Cd 0.7500 0.5812 0.1464
12 Cd 0.7500 0.0111 0.9889

Offset from the most stable computed form ... 91 meV/atom
ρ ... 5.40 g/cm³
Total magnetic moment ... 0.00 μB per cell
Formation energy from the elements ... -124 meV/atom
Crystal system ... orthorhombic